## ZnCd2SiAu (PBE-GGA)

Data for a relaxed structure of ZnCd2SiAu.

As for the uncorrected formation energy: 0.63 eV/atom. As for the crystal system: tetragonal.

It has space group P4/mmm (No. 123), with a = 4.9761 Å, b = 4.9761 Å, c = 4.8578 Å, α = 90.00°, β = 90.00° and γ = 90.00°. The inequivalent atoms are Zn at (0.0000, 0.0000, 0.0000), Cd at (0.0000, 0.5000, 0.0000), Si at (0.5000, 0.5000, 0.5000) and Au at (0.0000, 0.0000, 0.5000).